No. 1
A plane-wave DFT calculation with GGA-PBE was carried out for a geometry-optimized PmTm5P6 structure.

## Properties
total magnetic moment = 0.0 μB per formula unit
formation energy = -19.1 eV per formula unit
raw total energy = -0.241 Ha/atom

Lattice parameters (Å, degrees): 6.8967 11.9403 6.8942 90.00 109.50 90.00
Space group C2/m (No. 12)
One atom of each set of equivalent atoms:
Pm 0.0000 0.0000 0.0000 (multiplicity 2)
Tm 0.0000 0.1654 0.5000 (multiplicity 4)
Tm 0.0000 0.3329 0.0000 (multiplicity 4)
Tm 0.0000 0.5000 0.5000 (multiplicity 2)
P 0.2449 0.5000 0.2532 (multiplicity 4)
P 0.2456 0.3303 0.7459 (multiplicity 8)

---

No. 2
A plane-wave DFT calculation with GGA-PBE was carried out for a geometry-optimized LiBiPb2 structure.

## Properties
total magnetic moment = 0.0 μB per formula unit
formation energy = -0.3 eV per formula unit
raw total energy = -0.124 Ha/atom

Lattice parameters (Å, degrees): 5.1107 5.1107 15.8088 90.00 90.00 120.00
Space group R3m (No. 160, hexagonal axes)
One atom of each set of equivalent atoms:
Li 0.0000 0.0000 0.0000 (multiplicity 3)
Bi 0.0000 0.0000 0.7996 (multiplicity 3)
Pb 0.0000 0.0000 0.3618 (multiplicity 3)
Pb 0.0000 0.0000 0.5777 (multiplicity 3)

---

No. 3
A plane-wave DFT calculation with GGA-PBE was carried out for a geometry-optimized RbB3Te structure.

## Properties
excess energy over the best structure of this formula in the dataset = 1129 meV per atom
total magnetic moment = 1.0 μB per formula unit
raw total energy = -0.062 Ha/atom

Lattice parameters (Å, degrees): 5.1325 5.1325 5.1325 90.00 90.00 90.00
Space group Pm-3m (No. 221)
One atom of each set of equivalent atoms:
Rb 0.0000 0.0000 0.0000 (multiplicity 1)
B 0.0000 0.0000 0.5000 (multiplicity 3)
Te 0.5000 0.5000 0.5000 (multiplicity 1)

---

No. 4
A plane-wave DFT calculation with GGA-PBE was carried out for a geometry-optimized ErCdCuAg structure.

## Properties
total magnetic moment = 0.0 μB per formula unit
formation energy = -0.8 eV per formula unit
raw total energy = -0.122 Ha/atom

Lattice parameters (Å, degrees): 6.8080 6.8080 6.8080 90.00 90.00 90.00
Space group F-43m (No. 216)
One atom of each set of equivalent atoms:
Er 0.0000 0.0000 0.0000 (multiplicity 4)
Cd 0.0000 0.0000 0.5000 (multiplicity 4)
Cu 0.2500 0.2500 0.7500 (multiplicity 4)
Ag 0.2500 0.2500 0.2500 (multiplicity 4)

---

No. 5
A plane-wave DFT calculation with GGA-PBE was carried out for a geometry-optimized Pt2Au2F structure.

## Properties
excess energy over the best structure of this formula in the dataset = 0 meV per atom
total magnetic moment = 0.0 μB per formula unit
raw total energy = -0.146 Ha/atom

Lattice parameters (Å, degrees): 6.4008 6.4008 4.1128 90.00 90.00 90.00
Space group P4/mbm (No. 127)
One atom of each set of equivalent atoms:
Pt 0.1502 0.3498 0.0000 (multiplicity 4)
Au 0.1581 0.6581 0.5000 (multiplicity 4)
F 0.0000 0.0000 0.0000 (multiplicity 2)

---

No. 6
A plane-wave DFT calculation with GGA-PBE was carried out for a geometry-optimized Pm2TmC2Br2 structure.

## Properties
total magnetic moment = 0.0 μB per formula unit
raw total energy = -0.213 Ha/atom

Lattice parameters (Å, degrees): 4.4903 4.4903 15.5381 90.00 90.00 90.00
Space group I4/mmm (No. 139)
One atom of each set of equivalent atoms:
Pm 0.0000 0.0000 0.0997 (multiplicity 4)
Tm 0.0000 0.0000 0.5000 (multiplicity 2)
C 0.0000 0.5000 0.0000 (multiplicity 4)
Br 0.0000 0.0000 0.3102 (multiplicity 4)

---

No. 7
A plane-wave DFT calculation with GGA-PBE was carried out for a geometry-optimized Ba2LaPb structure.

## Properties
total magnetic moment = 0.0 μB per formula unit
formation energy = -0.7 eV per formula unit
raw total energy = -0.122 Ha/atom

Lattice parameters (Å, degrees): 4.1461 5.7469 7.6289 90.00 105.75 90.00
Space group Pm (No. 6)
One atom of each set of equivalent atoms:
Ba 0.0000 0.0000 0.0000 (multiplicity 1)
Ba 0.3170 0.5000 0.6356 (multiplicity 1)
La 0.6078 0.5000 0.2078 (multiplicity 1)
Pb 0.7174 0.0000 0.4401 (multiplicity 1)

---

No. 8
A plane-wave DFT calculation with GGA-PBE was carried out for a geometry-optimized AlTe4Se structure.

## Properties
total magnetic moment = 0.7 μB per formula unit
raw total energy = -0.101 Ha/atom

Lattice parameters (Å, degrees): 8.9290 8.9290 8.9290 90.00 90.00 90.00
Space group F-43m (No. 216)
One atom of each set of equivalent atoms:
Al 0.0000 0.0000 0.0000 (multiplicity 4)
Te 0.1234 0.1234 0.3766 (multiplicity 16)
Se 0.2500 0.2500 0.7500 (multiplicity 4)